No. 1
The following is a PBE calculation of a geometry-optimized TbPmGd2 structure, from Alexandria via LeMat-Bulk.

Cell: 8.0875 8.0875 8.0875 Å, 90.00 90.00 90.00°
With the nearest neighbours (Å) after each atom.
Atoms (fractional coordinates):
Tb 0.0000 0.0000 0.0000  8 Gd 3.50
Tb 0.0000 0.5000 0.5000  8 Gd 3.50
Tb 0.5000 0.0000 0.5000  8 Gd 3.50
Tb 0.5000 0.5000 0.0000  8 Gd 3.50
Pm 0.0000 0.0000 0.5000  8 Gd 3.50
Pm 0.0000 0.5000 0.0000  8 Gd 3.50
Pm 0.5000 0.0000 0.0000  8 Gd 3.50
Pm 0.5000 0.5000 0.5000  8 Gd 3.50
Gd 0.2500 0.2500 0.2500  4 Tb 3.50, 4 Pm 3.50
Gd 0.2500 0.2500 0.7500  4 Tb 3.50, 4 Pm 3.50
Gd 0.2500 0.7500 0.2500  4 Tb 3.50, 4 Pm 3.50
Gd 0.2500 0.7500 0.7500  4 Tb 3.50, 4 Pm 3.50
Gd 0.7500 0.2500 0.2500  4 Tb 3.50, 4 Pm 3.50
Gd 0.7500 0.2500 0.7500  4 Tb 3.50, 4 Pm 3.50
Gd 0.7500 0.7500 0.2500  4 Tb 3.50, 4 Pm 3.50
Gd 0.7500 0.7500 0.7500  4 Tb 3.50, 4 Pm 3.50

space-group type: No. 225
formation energy from the elements: 0.099 eV/atom

---

No. 2
The following is a PBE calculation of a geometry-optimized MnAs2S4 structure, from Alexandria via LeMat-Bulk.

Cell: 7.8089 7.8089 13.0638 Å, 90.00 90.00 156.56°
With the nearest neighbours (Å) after each atom.
Atoms (fractional coordinates):
Mn 0.1037 0.8963 0.7500  6 S 2.28-2.45
Mn 0.8963 0.1037 0.2500  6 S 2.28-2.45
As 0.3778 0.6222 0.5215  3 S 2.27-2.47
As 0.3778 0.6222 0.9785  3 S 2.27-2.47
As 0.6222 0.3778 0.0215  3 S 2.27-2.47
As 0.6222 0.3778 0.4785  3 S 2.27-2.47
S 0.0000 0.0000 0.0000  4 As 2.47
S 0.0000 0.0000 0.5000  4 As 2.47
S 0.3200 0.6800 0.1388  1 As 2.27, 2 Mn 2.45
S 0.3200 0.6800 0.3612  1 As 2.27, 2 Mn 2.45
S 0.4970 0.5030 0.7500  2 Mn 2.28
S 0.5030 0.4970 0.2500  2 Mn 2.28
S 0.6800 0.3200 0.6388  1 As 2.27, 2 Mn 2.45
S 0.6800 0.3200 0.8612  1 As 2.27, 2 Mn 2.45

space-group type: No. 63
formation energy without anion corrections: -0.25 eV per formula unit

---

No. 3
The following is a PBE calculation of a geometry-optimized HfCd2F11 structure, from Alexandria via LeMat-Bulk.

Cell: 8.4222 8.4222 8.4222 Å, 120.49 106.42 102.12°
With the nearest neighbours (Å) after each atom.
Atoms (fractional coordinates):
Hf 0.2500 0.2500 0.0000  8 F 2.08-2.12
Hf 0.7500 0.7500 0.0000  8 F 2.08-2.12
Cd 0.2142 0.7086 0.9228  6 F 2.24-2.34
Cd 0.2858 0.2086 0.4944  6 F 2.24-2.34
Cd 0.7142 0.7914 0.5056  6 F 2.24-2.34
Cd 0.7858 0.2914 0.0772  6 F 2.24-2.34
F 0.0000 0.5000 0.5000  2 F 1.72
F 0.0115 0.9416 0.2648  1 Hf 2.12, 1 Cd 2.24
F 0.0663 0.3128 0.1171  1 Hf 2.08, 1 Cd 2.24
F 0.1615 0.4357 0.5972  1 F 1.72
F 0.1768 0.4416 0.9301  1 Hf 2.12, 1 Cd 2.24
F 0.1957 0.9492 0.8829  1 Hf 2.08, 1 Cd 2.24
F 0.3043 0.1872 0.7535  1 Hf 2.08, 1 Cd 2.24
F 0.3232 0.2533 0.2648  1 Hf 2.12, 1 Cd 2.24
F 0.3385 0.9357 0.2742  1 F 1.72
F 0.4337 0.5508 0.2465  1 Hf 2.08, 1 Cd 2.24
F 0.4885 0.7533 0.9301  1 Hf 2.12, 1 Cd 2.24
F 0.5000 0.0000 0.5000  2 F 1.72
F 0.5115 0.2467 0.0699  1 Hf 2.12, 1 Cd 2.24
F 0.5663 0.4492 0.7535  1 Hf 2.08, 1 Cd 2.24
F 0.6615 0.0643 0.7258  1 F 1.72
F 0.6768 0.7467 0.7352  1 Hf 2.12, 1 Cd 2.24
F 0.6957 0.8128 0.2465  1 Hf 2.08, 1 Cd 2.24
F 0.8043 0.0508 0.1171  1 Hf 2.08, 1 Cd 2.24
F 0.8232 0.5584 0.0699  1 Hf 2.12, 1 Cd 2.24
F 0.8385 0.5643 0.4028  1 F 1.72
F 0.9337 0.6872 0.8829  1 Hf 2.08, 1 Cd 2.24
F 0.9885 0.0584 0.7352  1 Hf 2.12, 1 Cd 2.24

space-group type: No. 72
formation energy without anion corrections: -31.18 eV per formula unit

---

No. 4
The following is a PBE calculation of a geometry-optimized Rb3LiOs2O9 structure, from Alexandria via LeMat-Bulk.

Cell: 5.7556 5.7556 7.2061 Å, 90.00 90.00 120.00°
With the nearest neighbours (Å) after each atom.
Atoms (fractional coordinates):
Rb 0.0000 0.0000 0.0000  12 O 2.83-2.88
Rb 0.3333 0.6667 0.6556  12 O 2.90-2.99
Rb 0.6667 0.3333 0.3444  12 O 2.90-2.99
Li 0.0000 0.0000 0.5000  6 O 2.29
Os 0.3333 0.6667 0.1645  6 O 1.83-2.04
Os 0.6667 0.3333 0.8355  6 O 1.83-2.04
O 0.0000 0.5000 0.0000  2 Os 2.04
O 0.1798 0.3597 0.3033  1 Os 1.83
O 0.1798 0.8202 0.3033  1 Os 1.83
O 0.3597 0.1798 0.6967  1 Os 1.83
O 0.5000 0.0000 0.0000  2 Os 2.04
O 0.5000 0.5000 0.0000  2 Os 2.04
O 0.6403 0.8202 0.3033  1 Os 1.83
O 0.8202 0.1798 0.6967  1 Os 1.83
O 0.8202 0.6403 0.6967  1 Os 1.83

space-group type: No. 164
formation energy without anion corrections: -19.80 eV per formula unit

---

No. 5
The following is a PBE calculation of a geometry-optimized TiZnAg structure, from Alexandria via LeMat-Bulk.

Cell: 2.8134 25.1540 2.8440 Å, 90.00 90.00 90.00°
With the nearest neighbours (Å) after each atom.
Atoms (fractional coordinates):
Ti 0.0000 0.2092 0.2500  8 Ti 2.81-2.87, 4 Zn 2.86
Ti 0.0000 0.7909 0.7500  8 Ti 2.81-2.87, 4 Zn 2.86
Ti 0.5000 0.2908 0.7500  8 Ti 2.81-2.87, 4 Zn 2.86
Ti 0.5000 0.7091 0.2500  8 Ti 2.81-2.87, 4 Zn 2.86
Zn 0.0000 0.3721 0.2500  4 Ag 2.81, 4 Zn 2.81-2.84, 4 Ti 2.86
Zn 0.0000 0.6279 0.7500  4 Ag 2.81, 4 Zn 2.81-2.84, 4 Ti 2.86
Zn 0.5000 0.1279 0.7500  4 Ag 2.81, 4 Zn 2.81-2.84, 4 Ti 2.86
Zn 0.5000 0.8721 0.2500  4 Ag 2.81, 4 Zn 2.81-2.84, 4 Ti 2.86
Ag 0.0000 0.0496 0.2500  4 Zn 2.81, 6 Ag 2.81-2.87
Ag 0.0000 0.9504 0.7500  4 Zn 2.81, 6 Ag 2.81-2.87
Ag 0.5000 0.4504 0.7500  4 Zn 2.81, 6 Ag 2.81-2.87
Ag 0.5000 0.5496 0.2500  4 Zn 2.81, 6 Ag 2.81-2.87

space-group type: No. 63
formation energy from the elements: -0.058 eV/atom

---

No. 6
The following is a PBE calculation of a geometry-optimized NiTe3Pt structure, from Alexandria via LeMat-Bulk.

Cell: 7.1054 7.1054 7.1054 Å, 57.12 57.12 57.12°
With the nearest neighbours (Å) after each atom.
Atoms (fractional coordinates):
Ni 0.1504 0.1504 0.1504  6 Te 2.61-2.66
Ni 0.8496 0.8496 0.8496  6 Te 2.61-2.66
Te 0.0512 0.4494 0.7601  2 Ni 2.61-2.66, 2 Pt 2.71-2.76
Te 0.2399 0.9488 0.5506  2 Ni 2.61-2.66, 2 Pt 2.71-2.76
Te 0.4494 0.7601 0.0512  2 Ni 2.61-2.66, 2 Pt 2.71-2.76
Te 0.5506 0.2399 0.9488  2 Ni 2.61-2.66, 2 Pt 2.71-2.76
Te 0.7601 0.0512 0.4494  2 Ni 2.61-2.66, 2 Pt 2.71-2.76
Te 0.9488 0.5506 0.2399  2 Ni 2.61-2.66, 2 Pt 2.71-2.76
Pt 0.3511 0.3511 0.3511  6 Te 2.71-2.76
Pt 0.6489 0.6489 0.6489  6 Te 2.71-2.76

space-group type: No. 148
formation energy without anion corrections: -1.21 eV per formula unit

---

No. 7
The following is a PBE calculation of a geometry-optimized Mg2Ga2Ag7 structure, from Alexandria via LeMat-Bulk.

Cell: 7.4521 7.4521 7.4521 Å, 145.47 71.13 119.98°
With the nearest neighbours (Å) after each atom.
Atoms (fractional coordinates):
Mg 0.0000 0.0000 0.0000  7 Ag 2.86-2.89, 2 Ga 2.90
Mg 0.6779 0.1779 0.5000  10 Ag 2.81-3.12
Ga 0.3991 0.1912 0.2079  9 Ag 2.74-2.90, 1 Mg 2.90
Ga 0.9832 0.1912 0.7921  9 Ag 2.74-2.90, 1 Mg 2.90
Ag 0.1321 0.4797 0.6524  3 Ga 2.74-2.80, 3 Mg 2.89-2.91, 1 Ag 2.95
Ag 0.2373 0.8924 0.3450  3 Ga 2.75-2.78, 1 Mg 2.84, 4 Ag 2.88-3.08
Ag 0.3832 0.3832 0.0000  3 Mg 2.86-3.12, 6 Ag 2.87-2.90, 2 Ga 2.90
Ag 0.5474 0.8924 0.6550  3 Ga 2.75-2.78, 1 Mg 2.84, 4 Ag 2.88-3.08
Ag 0.5489 0.6910 0.8579  3 Mg 2.81-2.88, 2 Ga 2.86, 5 Ag 2.87-3.09
Ag 0.8273 0.4797 0.3476  3 Ga 2.74-2.80, 3 Mg 2.89-2.91, 1 Ag 2.95
Ag 0.8332 0.6910 0.1421  3 Mg 2.81-2.88, 2 Ga 2.86, 5 Ag 2.87-3.09

space-group type: No. 44
formation energy from the elements: -0.067 eV/atom

---

No. 8
The following is a PBE calculation of a geometry-optimized TbCd4Rh structure, from Alexandria via LeMat-Bulk.

Cell: 5.6182 5.6182 5.6182 Å, 60.00 60.00 60.00°
With the nearest neighbours (Å) after each atom.
Atoms (fractional coordinates):
Tb 0.0000 0.0000 0.0000  12 Cd 3.30, 4 Rh 3.44
Cd 0.3758 0.3758 0.3758  6 Cd 2.79-2.83
Cd 0.3758 0.3758 0.8726  6 Cd 2.79-2.83
Cd 0.3758 0.8726 0.3758  6 Cd 2.79-2.83
Cd 0.8726 0.3758 0.3758  6 Cd 2.79-2.83
Rh 0.7500 0.7500 0.7500  12 Cd 3.29, 4 Tb 3.44

space-group type: No. 216
formation energy from the elements: -0.161 eV/atom

---

No. 9
The following is a PBE calculation of a geometry-optimized MnAgBr2 structure, from Alexandria via LeMat-Bulk.

Cell: 3.6704 3.6704 29.3135 Å, 90.00 90.00 120.00°
With the nearest neighbours (Å) after each atom.
Atoms (fractional coordinates):
Mn 0.0000 0.0000 0.0000  6 Br 2.66
Mn 0.3333 0.6667 0.6667  6 Br 2.66
Mn 0.6667 0.3333 0.3333  6 Br 2.66
Ag 0.0000 0.0000 0.5000  2 Br 3.27
Ag 0.3333 0.6667 0.1667  2 Br 3.27
Ag 0.6667 0.3333 0.8333  2 Br 3.27
Br 0.0000 0.0000 0.3883  3 Mn 2.66
Br 0.0000 0.0000 0.6117  3 Mn 2.66
Br 0.3333 0.6667 0.0550  3 Mn 2.66
Br 0.3333 0.6667 0.2784  3 Mn 2.66
Br 0.6667 0.3333 0.7216  3 Mn 2.66
Br 0.6667 0.3333 0.9450  3 Mn 2.66

space-group type: No. 166
formation energy without anion corrections: -0.83 eV per formula unit

---

No. 10
The following is a PBE calculation of a geometry-optimized SrHf4S8 structure, from Alexandria via LeMat-Bulk.

Cell: 7.2142 7.2142 9.5989 Å, 123.72 123.72 60.03°
With the nearest neighbours (Å) after each atom.
Atoms (fractional coordinates):
Sr 0.0000 0.0000 0.0000  6 S 3.01
Hf 0.2557 0.7443 0.5000  6 S 2.54-2.58
Hf 0.2573 0.2573 0.5109  6 S 2.53-2.60
Hf 0.7427 0.7427 0.4891  6 S 2.53-2.60
Hf 0.7443 0.2557 0.5000  6 S 2.54-2.58
S 0.0131 0.0131 0.6978  3 Hf 2.58-2.60
S 0.0146 0.5208 0.7052  3 Hf 2.55-2.60
S 0.4792 0.9854 0.2948  3 Hf 2.55-2.60
S 0.4803 0.4803 0.2934  3 Hf 2.53-2.54
S 0.5197 0.5197 0.7066  3 Hf 2.53-2.54
S 0.5208 0.0146 0.7052  3 Hf 2.55-2.60
S 0.9854 0.4792 0.2948  3 Hf 2.55-2.60
S 0.9869 0.9869 0.3022  3 Hf 2.58-2.60

space-group type: No. 12
formation energy without anion corrections: -21.95 eV per formula unit

---

No. 11
The following is a PBE calculation of a geometry-optimized Rb2FeRh structure, from Alexandria via LeMat-Bulk.

Cell: 8.0572 8.0572 8.0572 Å, 90.00 90.00 90.00°
With the nearest neighbours (Å) after each atom.
Atoms (fractional coordinates):
Rb 0.2500 0.2500 0.2500  4 Fe 3.49, 4 Rh 3.49
Rb 0.2500 0.2500 0.7500  4 Fe 3.49, 4 Rh 3.49
Rb 0.2500 0.7500 0.2500  4 Fe 3.49, 4 Rh 3.49
Rb 0.2500 0.7500 0.7500  4 Fe 3.49, 4 Rh 3.49
Rb 0.7500 0.2500 0.2500  4 Fe 3.49, 4 Rh 3.49
Rb 0.7500 0.2500 0.7500  4 Fe 3.49, 4 Rh 3.49
Rb 0.7500 0.7500 0.2500  4 Fe 3.49, 4 Rh 3.49
Rb 0.7500 0.7500 0.7500  4 Fe 3.49, 4 Rh 3.49
Fe 0.0000 0.0000 0.0000  8 Rb 3.49
Fe 0.0000 0.5000 0.5000  8 Rb 3.49
Fe 0.5000 0.0000 0.5000  8 Rb 3.49
Fe 0.5000 0.5000 0.0000  8 Rb 3.49
Rh 0.0000 0.0000 0.5000  8 Rb 3.49
Rh 0.0000 0.5000 0.0000  8 Rb 3.49
Rh 0.5000 0.0000 0.0000  8 Rb 3.49
Rh 0.5000 0.5000 0.5000  8 Rb 3.49

space-group type: No. 225
formation energy from the elements: 1.433 eV/atom

---

No. 12
The following is a PBE calculation of a geometry-optimized Tc2BiPI structure, from Alexandria via LeMat-Bulk.

Cell: 4.9338 4.9338 5.1857 Å, 90.00 90.00 90.00°
With the nearest neighbours (Å) after each atom.
Atoms (fractional coordinates):
Tc 0.0000 0.5000 0.0000  2 I 2.47
Tc 0.5000 0.0000 0.0000  2 I 2.47
Bi 0.0000 0.0000 0.5000  4 P 3.49, 8 Tc 3.58
P 0.5000 0.5000 0.5000  2 I 2.59
I 0.5000 0.5000 0.0000  4 Tc 2.47, 2 P 2.59

space-group type: No. 123
formation energy without anion corrections: 9.11 eV per formula unit

---

Computed E (Ry/atom) in order:
-0.683 -0.370 -0.334 -0.449 -0.299 -0.330 -0.200 -0.203 -0.298 -0.545 -0.221 -0.330
Computed magnetic moment (μB per cell) in order:
64.79 5.75 2.20 0.00 0.00 0.00 0.00 0.00 14.48 0.00 18.39 2.96